Entry 1:
# TmCuSb (PBE, relaxed)
# - formation energy (no corrections) (eV/atom) = -0.280
# - total magnetic moment (μB/atom) = 0.0000
data_TmCuSb
_chemical_formula_sum 'Tm2 Cu2 Sb2'
_cell_length_a 4.015
_cell_length_b 4.015
_cell_length_c 8.502
_cell_angle_alpha 90.00
_cell_angle_beta 90.00
_cell_angle_gamma 90.00
_symmetry_space_group_name_H-M 'I 4 m m'
_symmetry_Int_Tables_number 107
_symmetry_space_group_name_Hall 'I 4 -2'
loop_
_atom_site_label
_atom_site_fract_x
_atom_site_fract_y
_atom_site_fract_z
Tm1 0.000 0.000 0.000
Cu1 0.000 0.000 0.664
Sb1 0.000 0.000 0.351

***

Entry 2:
# CaGeRh2 (PBE, relaxed)
# - formation energy from the elements (eV/atom) = -0.29
# - total magnetic moment (μB/atom) = 0.0000
data_CaGeRh2
_chemical_formula_sum 'Ca4 Ge4 Rh8'
_cell_length_a 7.246
_cell_length_b 7.246
_cell_length_c 5.938
_cell_angle_alpha 90.00
_cell_angle_beta 90.00
_cell_angle_gamma 90.00
_symmetry_space_group_name_H-M 'I -4 2 d'
_symmetry_Int_Tables_number 122
_symmetry_space_group_name_Hall 'I -4 2bw'
loop_
_atom_site_label
_atom_site_fract_x
_atom_site_fract_y
_atom_site_fract_z
Ca1 0.000 0.000 0.000
Ge1 0.000 0.000 0.500
Rh1 0.180 0.250 0.625

***

Entry 3:
# Cs4NpGa3Br12 (PBE, relaxed)
# - formation energy (no corrections) (eV/atom) = -1.261
# - total magnetic moment (μB/atom) = 0.1841
data_Cs4NpGa3Br12
_chemical_formula_sum 'Cs8 Np2 Ga6 Br24'
_cell_length_a 11.452
_cell_length_b 11.452
_cell_length_c 11.452
_cell_angle_alpha 90.00
_cell_angle_beta 90.00
_cell_angle_gamma 90.00
_symmetry_space_group_name_H-M 'I m -3 m'
_symmetry_Int_Tables_number 229
_symmetry_space_group_name_Hall '-I 4 2 3'
loop_
_atom_site_label
_atom_site_fract_x
_atom_site_fract_y
_atom_site_fract_z
Cs1 0.250 0.250 0.250
Np1 0.000 0.000 0.000
Ga1 0.000 0.000 0.500
Br1 0.000 0.000 0.244
Br2 0.000 0.250 0.500

***

Entry 4:
# SrPrZn2Au2 (PBE, relaxed)
# - formation energy from the elements (eV/atom) = -0.62
# - total magnetic moment (μB/atom) = 0.0000
data_SrPrZn2Au2
_chemical_formula_sum 'Sr1 Pr1 Zn2 Au2'
_cell_length_a 4.6325
_cell_length_b 4.6325
_cell_length_c 7.8836
_cell_angle_alpha 90.00
_cell_angle_beta 90.00
_cell_angle_gamma 120.00
_symmetry_space_group_name_H-M 'P -3 m 1'
_symmetry_Int_Tables_number 164
_symmetry_space_group_name_Hall '-P 3 2"'
loop_
_atom_site_label
_atom_site_fract_x
_atom_site_fract_y
_atom_site_fract_z
Sr1 0.0000 0.0000 0.0000
Pr1 0.0000 0.0000 0.5000
Zn1 0.3333 0.6667 0.7286
Au1 0.3333 0.6667 0.2734